No. 1
## CdCuN2 (PBE-GGA)

Data for CdCuN2 after structural relaxation.

Results
The formation energy without anion corrections comes out at 1251 meV/atom. The value obtained for the electronic total energy is -4.164 eV per atom.

a b c (Å): 3.4051 3.4051 17.4799
angles (deg): 90.00 90.00 120.00
Last column: nearest neighbours and their distance in Å.
Space group R-3m (No. 166, hexagonal axes)
Symmetry-distinct sites (fractional):
Cd: 0.0000 0.0000 0.0000 [3 per cell]  6 N 2.27
Cu: 0.0000 0.0000 0.5000 [3 per cell]  2 N 1.77
N: 0.0000 0.0000 0.3987 [6 per cell]  1 Cu 1.77



No. 2
## TiZnTcPt (PBE-GGA)

Data for TiZnTcPt after structural relaxation.

Results
For the formation energy, the calculation gives -0.4641 eV per atom. The value obtained for the energy above the most stable polymorph in this dataset is 44 meV/atom. The value obtained for the electronic total energy is -6.858 eV per atom.

a b c (Å): 6.1819 6.1819 6.1819
angles (deg): 90.00 90.00 90.00
Last column: nearest neighbours and their distance in Å.
Space group F-43m (No. 216)
Symmetry-distinct sites (fractional):
Ti: 0.0000 0.0000 0.0000 [4 per cell]  4 Tc 2.68, 4 Pt 2.68
Zn: 0.0000 0.0000 0.5000 [4 per cell]  4 Pt 2.68, 4 Tc 2.68
Tc: 0.2500 0.2500 0.2500 [4 per cell]  4 Zn 2.68, 4 Ti 2.68
Pt: 0.2500 0.2500 0.7500 [4 per cell]  4 Zn 2.68, 4 Ti 2.68



No. 3
## BaLiNiH6 (PBE-GGA)

Data for BaLiNiH6 after structural relaxation.

Results
The value obtained for the electronic total energy is -3.593 eV per atom.

a b c (Å): 4.7983 4.7983 4.8064
angles (deg): 90.00 90.00 120.00
Last column: nearest neighbours and their distance in Å.
Space group P312 (No. 149)
Symmetry-distinct sites (fractional):
Ba: 0.0000 0.0000 0.0000 [1 per cell]  12 H 2.77-2.79
Li: 0.3333 0.6667 0.5000 [1 per cell]  6 H 1.87
Ni: 0.6667 0.3333 0.5000 [1 per cell]  6 H 1.57
H: 0.5208 0.0448 0.7101 [6 per cell]  1 Ni 1.57